[1]
Computed, not measured: a relaxed structure of Na2TlPt2 at the PBE level of DFT.

Cell lengths 6.937, 6.937, 4.641 Å; angles 90.00, 90.00, 90.00 degrees
Fractional positions:
Pt 0.132 0.368 0.000
Pt 0.868 0.632 0.000
Pt 0.368 0.868 0.000
Pt 0.632 0.132 0.000
Na 0.164 0.664 0.500
Na 0.836 0.336 0.500
Na 0.336 0.164 0.500
Na 0.664 0.836 0.500
Tl 0.000 0.000 0.000
Tl 0.500 0.500 0.000

## Properties
Space group   P4/mbm, No. 127
E_form   -0.168 eV/atom
Energy relative to the lowest polymorph listed for this composition   35 meV per atom

[2]
Computed, not measured: a relaxed structure of NaTl2Pt at the PBE level of DFT.

Cell lengths 4.296, 4.582, 4.582 Å; angles 90.00, 90.00, 90.00 degrees
Fractional positions:
Tl 0.000 0.500 0.000
Tl 0.000 0.000 0.500
Na 0.500 0.000 0.000
Pt 0.500 0.500 0.500

## Properties
Space group   P4/mmm, No. 123
E_form   -0.023 eV/atom

[3]
Computed, not measured: a relaxed structure of NaTl2Pt at the PBE level of DFT.

Cell lengths 3.462, 3.462, 7.904 Å; angles 90.00, 90.00, 90.00 degrees
Fractional positions:
Na 0.500 0.500 0.500
Pt 0.500 0.500 0.000
Tl 0.000 0.000 0.787
Tl 0.000 0.000 0.213

## Properties
Space group   P4/mmm, No. 123
E_form   -0.103 eV/atom

[4]
Computed, not measured: a relaxed structure of Na12Tl3Pt at the PBE level of DFT.

Cell lengths 4.788, 4.788, 19.962 Å; angles 90.00, 90.00, 90.00 degrees
Fractional positions:
Na 0.000 0.500 0.368
Na 0.500 0.500 0.000
Na 0.500 0.000 0.900
Na 0.000 0.500 0.100
Na 0.500 0.500 0.766
Na 0.500 0.000 0.100
Na 0.500 0.500 0.500
Na 0.500 0.500 0.234
Na 0.500 0.000 0.368
Na 0.500 0.000 0.632
Na 0.000 0.500 0.900
Na 0.000 0.500 0.632
Tl 0.000 0.000 0.762
Tl 0.000 0.000 0.238
Tl 0.000 0.000 0.500
Pt 0.000 0.000 0.000

## Properties
Space group   P4/mmm, No. 123
E_form   -0.055 eV/atom

[5]
Computed, not measured: a relaxed structure of NaTl3Pt3 at the PBE level of DFT.

Cell lengths 7.612, 7.612, 7.612 Å; angles 90.00, 90.00, 90.00 degrees
Fractional positions:
Tl 0.000 0.500 0.250
Tl 0.500 0.250 0.000
Tl 0.500 0.750 0.000
Tl 0.000 0.500 0.750
Tl 0.750 0.000 0.500
Tl 0.250 0.000 0.500
Pt 0.000 0.250 0.500
Pt 0.500 0.000 0.250
Pt 0.000 0.750 0.500
Pt 0.250 0.500 0.000
Pt 0.750 0.500 0.000
Pt 0.500 0.000 0.750
Na 0.500 0.500 0.500
Na 0.000 0.000 0.000

## Properties
Space group   Pm-3n, No. 223
E_form   0.226 eV/atom

[6]
Computed, not measured: a relaxed structure of Na5TlPt at the PBE level of DFT.

Cell lengths 5.852, 5.852, 10.896 Å; angles 89.87, 89.87, 88.06 degrees
Fractional positions:
Na 0.157 0.453 0.400
Na 0.546 0.841 0.401
Na 0.322 0.678 0.750
Na 0.454 0.159 0.599
Na 0.678 0.322 0.250
Na 0.843 0.547 0.600
Na 0.547 0.843 0.100
Na 0.841 0.546 0.901
Na 0.159 0.454 0.099
Na 0.453 0.157 0.900
Tl 0.939 0.061 0.750
Tl 0.061 0.939 0.250
Pt 0.000 0.000 0.000
Pt 0.000 0.000 0.500

## Properties
Space group   C2/c, No. 15
E_form   -0.064 eV/atom

[7]
Computed, not measured: a relaxed structure of NaTlPt2 at the PBE level of DFT.

Cell lengths 7.716, 7.716, 6.136 Å; angles 51.04, 51.04, 90.00 degrees
Fractional positions:
Pt 0.645 0.125 0.250
Pt 0.875 0.895 0.750
Pt 0.105 0.625 0.250
Pt 0.375 0.355 0.750
Tl 0.750 0.250 0.500
Tl 0.000 0.000 0.000
Na 0.500 0.500 0.000
Na 0.250 0.750 0.500

## Properties
Space group   I-42d, No. 122
E_form   0.163 eV/atom

[8]
Computed, not measured: a relaxed structure of Na4Tl5Pt at the PBE level of DFT.

Cell lengths 6.659, 7.448, 7.448 Å; angles 78.47, 63.44, 63.44 degrees
Fractional positions:
Tl 0.201 0.866 0.674
Tl 0.067 0.674 0.134
Tl 0.875 0.326 0.866
Tl 0.635 0.000 0.000
Tl 0.741 0.134 0.326
Na 0.745 0.750 0.644
Na 0.495 0.644 0.250
Na 0.139 0.250 0.356
Na 0.389 0.356 0.750
Pt 0.224 0.000 0.000

## Properties
Space group   I4, No. 79
E_form   -0.083 eV/atom
Energy relative to the lowest polymorph listed for this composition   22 meV per atom

[9]
Computed, not measured: a relaxed structure of Na4Tl5Pt at the PBE level of DFT.

Cell lengths 5.306, 7.956, 7.956 Å; angles 83.62, 70.52, 70.52 degrees
Fractional positions:
Na 0.813 0.686 0.686
Na 0.499 0.314 0.686
Na 0.499 0.686 0.314
Na 0.185 0.314 0.314
Tl 0.186 0.627 0.000
Tl 0.186 0.000 0.627
Tl 0.812 0.000 0.373
Tl 0.812 0.373 0.000
Tl 0.499 0.000 0.000
Pt 0.999 0.000 0.000

## Properties
Space group   I4/mmm, No. 139
E_form   -0.104 eV/atom
Energy relative to the lowest polymorph listed for this composition   0 meV per atom

[10]
Computed, not measured: a relaxed structure of Na3Tl5Pt2 at the PBE level of DFT.

Cell lengths 6.487, 10.015, 10.015 Å; angles 80.35, 71.11, 71.11 degrees
Fractional positions:
Na 0.683 0.594 0.040
Na 0.317 0.406 0.960
Na 0.750 0.000 0.000
Na 0.183 0.040 0.594
Na 0.250 0.000 0.000
Na 0.817 0.960 0.406
Tl 0.552 0.238 0.658
Tl 0.522 0.728 0.728
Tl 0.250 0.500 0.500
Tl 0.022 0.728 0.728
Tl 0.750 0.500 0.500
Tl 0.052 0.658 0.238
Tl 0.948 0.342 0.762
Tl 0.448 0.762 0.342
Tl 0.478 0.272 0.272
Tl 0.978 0.272 0.272
Pt 0.659 0.961 0.721
Pt 0.159 0.721 0.961
Pt 0.841 0.279 0.039
Pt 0.341 0.039 0.279

## Properties
Space group   Ibam, No. 72
E_form   -0.054 eV/atom

[11]
Computed, not measured: a relaxed structure of Na2TlPt2 at the PBE level of DFT.

Cell lengths 5.687, 5.768, 8.295 Å; angles 102.63, 90.00, 119.54 degrees
Fractional positions:
Na 0.507 0.300 0.148
Na 0.793 0.300 0.648
Na 0.207 0.700 0.352
Na 0.493 0.700 0.852
Pt 0.990 0.276 0.009
Pt 0.714 0.724 0.491
Pt 0.286 0.276 0.509
Pt 0.010 0.724 0.991
Tl 0.138 0.000 0.750
Tl 0.862 0.000 0.250

## Properties
Space group   C2/c, No. 15
E_form   -0.203 eV/atom
Energy relative to the lowest polymorph listed for this composition   0 meV per atom

[12]
Computed, not measured: a relaxed structure of Na2Tl2Pt3 at the PBE level of DFT.

Cell lengths 4.415, 6.137, 7.400 Å; angles 119.66, 90.00, 111.08 degrees
Fractional positions:
Na 0.853 0.706 0.232
Na 0.147 0.294 0.768
Pt 0.568 0.135 0.407
Pt 0.500 0.000 0.000
Pt 0.432 0.865 0.593
Tl 0.845 0.691 0.736
Tl 0.155 0.309 0.264

## Properties
Space group   C2/m, No. 12
E_form   -0.204 eV/atom